# 1
Below is a relaxed Tm6BiPd crystal, with properties calculated at the PBE level.

## Properties
- electronic total energy (eV per atom) = -4.629
- energy of formation (eV per formula unit) = -1.13

Lattice parameters (Å, degrees): 6.821 6.835 7.492 90.24 116.90 119.79
Positions (direct):
1 Tm 0.038 0.074 0.263
2 Tm 0.297 0.724 0.262
3 Tm 0.308 0.533 0.738
4 Tm 0.692 0.467 0.262
5 Tm 0.703 0.276 0.738
6 Tm 0.962 0.926 0.737
7 Bi 0.500 0.000 0.000
8 Pd 0.500 0.500 0.500

# 2
Below is a relaxed In2ReTe crystal, with properties calculated at the PBE level.

## Properties
- electronic total energy (eV per atom) = -4.574

Lattice parameters (Å, degrees): 5.399 5.399 5.089 109.46 109.46 38.65
Positions (direct):
1 In 0.230 0.230 0.216
2 In 0.770 0.770 0.784
3 Re 0.500 0.500 0.000
4 Te 0.000 0.000 0.500

# 3
Below is a relaxed TlP crystal, with properties calculated at the PBE level.

## Properties
- electronic total energy (eV per atom) = -3.802
- energy of formation (eV per formula unit) = 0.17

Lattice parameters (Å, degrees): 6.244 6.244 6.244 148.96 126.82 62.87
Positions (direct):
1 Tl 0.352 0.102 0.250
2 Tl 0.648 0.898 0.750
3 P 0.068 0.318 0.750
4 P 0.932 0.682 0.250